Density functional theory data (GGA-PBE) for a geometry-optimized Li2SbOs structure.

Values from the calculation:
E = -4.86 eV per atom
Total magnetization = 0.00 μB/cell
SG = F-43m

Unit cell a=4.4016 b=4.4016 c=4.4016 alpha=60.00 beta=60.00 gamma=60.00
Last column: nearest neighbours and their distance in Å.
Atoms (fractional coordinates):
Li 0.7500 0.7500 0.7500  4 Li 2.70, 4 Sb 2.70
Li 0.0000 0.0000 0.0000  4 Li 2.70, 4 Os 2.70
Os 0.2500 0.2500 0.2500  4 Sb 2.70, 4 Li 2.70
Sb 0.5000 0.5000 0.5000  4 Li 2.70, 4 Os 2.70

---

Density functional theory data (GGA-PBE) for a geometry-optimized LiSiSbOs structure.

Values from the calculation:
E above lowest polymorph = 0.00 kJ/mol of atoms
E = -5.68 eV per atom
Total magnetization = 0.00 μB/cell
SG = F-43m

Unit cell a=4.4350 b=4.4350 c=4.4350 alpha=60.00 beta=60.00 gamma=60.00
Last column: nearest neighbours and their distance in Å.
Atoms (fractional coordinates):
Os 0.2500 0.2500 0.2500  4 Si 2.72, 4 Sb 2.72
Si 0.5000 0.5000 0.5000  4 Os 2.72, 4 Li 2.72
Li 0.7500 0.7500 0.7500  4 Si 2.72, 4 Sb 2.72
Sb 0.0000 0.0000 0.0000  4 Os 2.72, 4 Li 2.72

---

What did the first record say?
Density functional theory data (GGA-PBE) for a geometry-optimized Li2SbOs structure.

Values from the calculation:
E = -4.86 eV per atom
Total magnetization = 0.00 μB/cell
SG = F-43m

Unit cell a=4.4016 b=4.4016 c=4.4016 alpha=60.00 beta=60.00 gamma=60.00
Last column: nearest neighbours and their distance in Å.
Atoms (fractional coordinates):
Li 0.7500 0.7500 0.7500  4 Li 2.70, 4 Sb 2.70
Li 0.0000 0.0000 0.0000  4 Li 2.70, 4 Os 2.70
Os 0.2500 0.2500 0.2500  4 Sb 2.70, 4 Li 2.70
Sb 0.5000 0.5000 0.5000  4 Li 2.70, 4 Os 2.70